LiTa2Mn: relaxed, PBE-GGA.

Properties
Formation energy (eV per atom): 0.3222
Total magnetization (μB per atom): 0.830
Energy above the lowest structure with this stoichiometry (meV/atom): 182.6
Energy (eV/atom): -8.375

Unit cell a=2.7860 b=2.7860 c=8.7159 alpha=90.00 beta=90.00 gamma=90.00
Last column: nearest neighbours and their distance in Å.
Space group P4mm (No. 99)
One atom of each set of equivalent atoms:
Li 0.0000 0.0000 0.0000 x1  4 Li 2.79, 4 Mn 2.84, 4 Ta 3.07
Ta 0.0000 0.0000 0.4632 x1  8 Ta 2.79-3.05, 4 Mn 2.80
Ta 0.5000 0.5000 0.7297 x1  8 Ta 2.79-3.05, 4 Li 3.07
Mn 0.5000 0.5000 0.2352 x1  4 Mn 2.79, 4 Ta 2.80, 4 Li 2.84